[1]
# Cd3H2Pd9

A relaxed structure of Cd3H2Pd9 (GGA-PBE, Alexandria).

Properties
The calculation puts the final energy at -4.27 eV/atom. Its calculated density is 10.71 g/cm3.

abc: 5.7413 5.7413 14.0936
angles: 90.00 90.00 120.00
Last column: nearest neighbours and their distance in Å.
Atoms (fractional coordinates):
Cd 0.0000 0.0000 0.2500  12 Pd 2.87-2.88
Cd 0.0000 0.0000 0.7500  12 Pd 2.87-2.88
Cd 0.3333 0.6667 0.0841  12 Pd 2.87-2.88
Cd 0.3333 0.6667 0.4159  12 Pd 2.87-2.88
Cd 0.6667 0.3333 0.5841  12 Pd 2.87-2.88
Cd 0.6667 0.3333 0.9159  12 Pd 2.87-2.88
H 0.3333 0.6667 0.6481  3 Pd 1.91
H 0.3333 0.6667 0.8519  3 Pd 1.91
H 0.6667 0.3333 0.1481  3 Pd 1.91
H 0.6667 0.3333 0.3519  3 Pd 1.91
Pd 0.0001 0.5000 0.2500  2 H 2.19
Pd 0.9999 0.5000 0.7500  2 H 2.19
Pd 0.1652 0.3303 0.5822  1 H 1.91
Pd 0.1652 0.3303 0.9178  1 H 1.91
Pd 0.1652 0.8348 0.5822  1 H 1.91
Pd 0.1652 0.8348 0.9178  1 H 1.91
Pd 0.3303 0.1652 0.0822  1 H 1.91
Pd 0.3303 0.1652 0.4178  1 H 1.91
Pd 0.5000 0.9999 0.2500  2 H 2.19
Pd 0.5000 0.0001 0.7500  2 H 2.19
Pd 0.5000 0.5000 0.2500  2 H 2.19
Pd 0.5000 0.5000 0.7500  2 H 2.19
Pd 0.6697 0.8348 0.5822  1 H 1.91
Pd 0.6697 0.8348 0.9178  1 H 1.91
Pd 0.8348 0.1652 0.0822  1 H 1.91
Pd 0.8348 0.1652 0.4178  1 H 1.91
Pd 0.8348 0.6697 0.0822  1 H 1.91
Pd 0.8348 0.6697 0.4178  1 H 1.91



[2]
# AsAuI2O

A relaxed structure of AsAuI2O (GGA-PBE, Alexandria).

Properties
The calculation puts the final energy at -2.64 eV/atom. As for the energy above the most stable polymorph in this dataset: 471 meV per atom. The calculation puts the formation energy without anion corrections at 0.56 eV/atom. Its calculated density is 6.98 g/cm3.

abc: 5.7038 5.7038 3.9636
angles: 90.00 90.00 90.00
Last column: nearest neighbours and their distance in Å.
Atoms (fractional coordinates):
As 0.0000 0.0000 0.0000  8 I 3.47
Au 0.5000 0.5000 0.5000  2 O 1.98
I 0.0000 0.5000 0.5000  2 Au 2.85
I 0.5000 0.0000 0.5000  2 Au 2.85
O 0.5000 0.5000 0.0000  2 Au 1.98



[3]
# ScU2As3

A relaxed structure of ScU2As3 (GGA-PBE, Alexandria).

Properties
The calculation puts the final energy at -8.09 eV/atom. Its formation energy from the elements is -0.943 eV/atom. Its calculated density is 8.98 g/cm3.

abc: 6.9422 6.9422 7.0135
angles: 99.54 99.54 120.10
Last column: nearest neighbours and their distance in Å.
Atoms (fractional coordinates):
Sc 0.1679 0.8321 0.0000  6 As 2.78-2.79
Sc 0.8321 0.1679 0.0000  6 As 2.78-2.79
U 0.0000 0.0000 0.5000  6 As 2.85-2.90
U 0.3364 0.6636 0.5000  6 As 2.86-2.90
U 0.5000 0.5000 0.0000  6 As 2.84-2.85
U 0.6636 0.3364 0.5000  6 As 2.86-2.90
As 0.0787 0.4193 0.7586  2 Sc 2.78-2.79, 4 U 2.85-2.90
As 0.2374 0.2374 0.2364  2 Sc 2.78, 4 U 2.84-2.89
As 0.4193 0.0787 0.7586  2 Sc 2.78-2.79, 4 U 2.85-2.90
As 0.5807 0.9213 0.2414  2 Sc 2.78-2.79, 4 U 2.85-2.90
As 0.7626 0.7626 0.7636  2 Sc 2.78, 4 U 2.84-2.89
As 0.9213 0.5807 0.2414  2 Sc 2.78-2.79, 4 U 2.85-2.90



[4]
# YSc2Rh

A relaxed structure of YSc2Rh (GGA-PBE, Alexandria).

Properties
The calculation puts the final energy at -6.85 eV/atom. As for the energy above the most stable polymorph in this dataset: 289 meV per atom. Its formation energy from the elements is -0.235 eV/atom. Its calculated density is 5.46 g/cm3.

abc: 4.9477 4.9477 4.9477
angles: 60.00 60.00 60.00
Last column: nearest neighbours and their distance in Å.
Atoms (fractional coordinates):
Y 0.0000 0.0000 0.0000  4 Rh 3.03, 4 Sc 3.03
Sc 0.5000 0.5000 0.5000  4 Sc 3.03, 4 Rh 3.03
Sc 0.7500 0.7500 0.7500  4 Sc 3.03, 4 Y 3.03
Rh 0.2500 0.2500 0.2500  4 Sc 3.03, 4 Y 3.03



[5]
# Cs3U3AgS8

A relaxed structure of Cs3U3AgS8 (GGA-PBE, Alexandria).

Properties
The calculation puts the final energy at -6.06 eV/atom. The calculation puts the formation energy without anion corrections at -1.24 eV/atom. Its calculated density is 5.34 g/cm3.

abc: 9.3774 9.3774 9.3774
angles: 51.00 51.00 51.00
Last column: nearest neighbours and their distance in Å.
Atoms (fractional coordinates):
Cs 0.0000 0.5000 0.5000  6 S 3.48-3.55
Cs 0.5000 0.0000 0.5000  6 S 3.48-3.55
Cs 0.5000 0.5000 0.0000  6 S 3.48-3.55
U 0.0000 0.0000 0.5000  6 S 2.69-2.76
U 0.0000 0.5000 0.0000  6 S 2.69-2.76
U 0.5000 0.0000 0.0000  6 S 2.69-2.76
Ag 0.5000 0.5000 0.5000  6 S 2.87
S 0.2058 0.7368 0.7368  2 U 2.69, 1 Ag 2.87
S 0.2273 0.2273 0.2273  3 U 2.76
S 0.2632 0.2632 0.7942  2 U 2.69, 1 Ag 2.87
S 0.2632 0.7942 0.2632  2 U 2.69, 1 Ag 2.87
S 0.7368 0.2058 0.7368  2 U 2.69, 1 Ag 2.87
S 0.7368 0.7368 0.2058  2 U 2.69, 1 Ag 2.87
S 0.7727 0.7727 0.7727  3 U 2.76
S 0.7942 0.2632 0.2632  2 U 2.69, 1 Ag 2.87



[6]
# K3Pm3TlO8

A relaxed structure of K3Pm3TlO8 (GGA-PBE, Alexandria).

Properties
The calculation puts the final energy at -6.14 eV/atom. The calculation puts the formation energy without anion corrections at -2.17 eV/atom. Its calculated density is 5.24 g/cm3.

abc: 7.5537 7.5537 7.5537
angles: 56.50 56.50 56.50
Last column: nearest neighbours and their distance in Å.
Atoms (fractional coordinates):
K 0.0000 0.5000 0.5000  6 O 2.84-2.87
K 0.5000 0.0000 0.5000  6 O 2.84-2.87
K 0.5000 0.5000 0.0000  6 O 2.84-2.87
Pm 0.0000 0.0000 0.5000  6 O 2.37-2.41
Pm 0.0000 0.5000 0.0000  6 O 2.37-2.41
Pm 0.5000 0.0000 0.0000  6 O 2.37-2.41
Tl 0.5000 0.5000 0.5000  6 O 2.32
O 0.2279 0.2279 0.2279  3 Pm 2.37
O 0.2398 0.7230 0.7230  1 Tl 2.32, 2 Pm 2.41
O 0.2770 0.2770 0.7602  1 Tl 2.32, 2 Pm 2.41
O 0.2770 0.7602 0.2770  1 Tl 2.32, 2 Pm 2.41
O 0.7230 0.2398 0.7230  1 Tl 2.32, 2 Pm 2.41
O 0.7230 0.7230 0.2398  1 Tl 2.32, 2 Pm 2.41
O 0.7602 0.2770 0.2770  1 Tl 2.32, 2 Pm 2.41
O 0.7721 0.7721 0.7721  3 Pm 2.37



Computed magnetization (μB per cell) in order:
0.00, 0.00, 9.92, 0.26, 6.00, 1.17